No. 1
The following is a DFT calculation (PBE-GGA) of a relaxed ReTcP4 crystal.

Cell lengths 4.8667, 4.8667, 4.8667 Å; angles 60.00, 60.00, 60.00 degrees
Closest atoms and distances in Å follow each position.
Element x y z (fractional)
Re 0.7500 0.7500 0.7500  12 P 2.85, 4 Tc 2.98
Tc 0.0000 0.0000 0.0000  12 P 2.85, 4 Re 2.98
P 0.8748 0.3751 0.3751  6 P 2.43
P 0.3751 0.3751 0.8748  6 P 2.43
P 0.3751 0.8748 0.3751  6 P 2.43
P 0.3751 0.3751 0.3751  6 P 2.43

Its density of states at the Fermi level is 1.09 states/eV/atom. The energy of formation from the pure elements comes out at 0.941 eV/atom. The value obtained for the total energy is -6.47 eV/atom.


No. 2
The following is a DFT calculation (PBE-GGA) of a relaxed ScInHg crystal.

Cell lengths 4.8172, 4.8172, 4.8172 Å; angles 60.00, 60.00, 60.00 degrees
Closest atoms and distances in Å follow each position.
Element x y z (fractional)
Sc 0.5000 0.5000 0.5000  4 In 2.95, 4 Hg 2.95
Hg 0.7500 0.7500 0.7500  4 Sc 2.95
In 0.2500 0.2500 0.2500  4 Sc 2.95

The calculation puts the polymorph energy (0 for the lowest one) at 0.292 eV/atom. Its density of states at the Fermi level is 0.88 states/eV/atom. The energy of formation from the pure elements comes out at -0.028 eV/atom. The value obtained for the total energy is -3.15 eV/atom.


No. 3
The following is a DFT calculation (PBE-GGA) of a relaxed DyMg3Cd2 crystal.

Cell lengths 4.7759, 9.4510, 8.7685 Å; angles 48.73, 74.20, 75.36 degrees
Closest atoms and distances in Å follow each position.
Element x y z (fractional)
Dy 0.1142 0.8176 0.9540  7 Cd 3.27-3.49, 7 Mg 3.38-3.64
Dy 0.8858 0.1824 0.0460  7 Cd 3.27-3.49, 7 Mg 3.38-3.64
Mg 0.6993 0.0692 0.5323  2 Cd 2.85-2.95, 3 Mg 2.91-3.01
Mg 0.0721 0.2963 0.5594  3 Cd 2.84-2.97, 2 Mg 3.08
Mg 0.3782 0.5058 0.7377  4 Cd 2.84-3.05, 3 Mg 3.01-3.08
Mg 0.6218 0.4942 0.2623  4 Cd 2.84-3.05, 3 Mg 3.01-3.08
Mg 0.9279 0.7037 0.4406  3 Cd 2.84-2.97, 2 Mg 3.08
Mg 0.3007 0.9308 0.4677  2 Cd 2.85-2.95, 3 Mg 2.91-3.01
Cd 0.5205 0.1650 0.7941  1 Cd 2.81, 4 Mg 2.84-2.85
Cd 0.4795 0.8350 0.2059  1 Cd 2.81, 4 Mg 2.84-2.85
Cd 0.2387 0.3476 0.1750  5 Mg 2.95-3.05
Cd 0.7613 0.6524 0.8250  5 Mg 2.95-3.05

The calculation puts the polymorph energy (0 for the lowest one) at 0.043 eV/atom. Its density of states at the Fermi level is 0.54 states/eV/atom. The energy of formation from the pure elements comes out at -0.145 eV/atom. The value obtained for the total energy is -2.01 eV/atom.


No. 4
The following is a DFT calculation (PBE-GGA) of a relaxed P2PtPb crystal.

Cell lengths 4.9559, 4.9559, 4.9559 Å; angles 127.10, 127.10, 78.09 degrees
Closest atoms and distances in Å follow each position.
Element x y z (fractional)
P 0.0000 0.0000 0.0000  4 Pt 2.93, 4 P 2.93, 4 Pb 3.12
P 0.2500 0.7500 0.5000  4 Pb 2.93, 4 P 2.93, 4 Pt 3.12
Pb 0.5000 0.5000 0.0000  4 Pt 2.93, 8 P 2.93-3.12
Pt 0.7500 0.2500 0.5000  4 Pb 2.93, 8 P 2.93-3.12

Its density of states at the Fermi level is 0.79 states/eV/atom. The energy of formation from the pure elements comes out at 0.522 eV/atom. The value obtained for the total energy is -4.62 eV/atom.


No. 5
The following is a DFT calculation (PBE-GGA) of a relaxed Cs2FeBSe crystal.

Cell lengths 6.6152, 3.8861, 6.6152 Å; angles 90.00, 90.00, 90.00 degrees
Closest atoms and distances in Å follow each position.
Element x y z (fractional)
Cs 0.0000 0.0000 0.5000  2 B 3.31
Cs 0.5000 0.0000 0.0000  2 B 3.31
B 0.0000 0.0000 0.0000  2 Fe 1.94
Fe 0.0000 0.5000 0.0000  2 B 1.94
Se 0.5000 0.5000 0.5000  8 Cs 3.84, 2 Se 3.89

The calculation puts the energy relative to the elements, uncorrected at 0.49 eV per atom. Its density of states at the Fermi level is 1.08 states/eV/atom. The value obtained for the total energy is -3.58 eV/atom.


No. 6
The following is a DFT calculation (PBE-GGA) of a relaxed DyPuSeS2 crystal.

Cell lengths 6.0895, 6.1384, 7.3872 Å; angles 114.55, 90.00, 90.00 degrees
Closest atoms and distances in Å follow each position.
Element x y z (fractional)
Dy 0.2500 0.8852 0.7705  4 S 2.66
Dy 0.7500 0.1148 0.2295  4 S 2.66
Pu 0.2500 0.6185 0.2371  4 S 2.68
Pu 0.7500 0.3815 0.7629  4 S 2.68
Se 0.7500 0.7495 0.4990  4 Pu 3.52-3.54, 4 Dy 3.55-3.56
Se 0.2500 0.2505 0.5010  4 Pu 3.52-3.54, 4 Dy 3.55-3.56
S 0.5000 0.2505 0.0000  2 Dy 2.66, 2 Pu 2.68
S 0.0000 0.7495 0.0000  2 Dy 2.66, 2 Pu 2.68
S 0.5000 0.7495 0.0000  2 Dy 2.66, 2 Pu 2.68
S 0.0000 0.2505 0.0000  2 Dy 2.66, 2 Pu 2.68

The calculation puts the energy relative to the elements, uncorrected at -1.39 eV per atom. Its density of states at the Fermi level is 1.96 states/eV/atom. The value obtained for the total energy is -7.52 eV/atom.


No. 7
The following is a DFT calculation (PBE-GGA) of a relaxed NaSn6Hg2 crystal.

Cell lengths 11.4198, 11.4314, 11.4198 Å; angles 36.52, 58.65, 36.52 degrees
Closest atoms and distances in Å follow each position.
Element x y z (fractional)
Na 0.9168 0.7500 0.0832  2 Hg 3.20, 8 Sn 3.27-3.54
Na 0.0832 0.2500 0.9168  2 Hg 3.20, 8 Sn 3.27-3.54
Sn 0.1679 0.4873 0.4466  2 Hg 3.13-3.20, 5 Sn 3.19-3.40
Sn 0.5534 0.0127 0.8321  2 Hg 3.13-3.20, 5 Sn 3.19-3.40
Sn 0.8321 0.5127 0.5534  2 Hg 3.13-3.20, 5 Sn 3.19-3.40
Sn 0.4466 0.9873 0.1679  2 Hg 3.13-3.20, 5 Sn 3.19-3.40
Sn 0.2176 0.0439 0.5495  4 Sn 3.03-3.22, 3 Hg 3.10-3.39, 1 Na 3.27
Sn 0.4505 0.4561 0.7824  4 Sn 3.03-3.22, 3 Hg 3.10-3.39, 1 Na 3.27
Sn 0.7824 0.9561 0.4505  4 Sn 3.03-3.22, 3 Hg 3.10-3.39, 1 Na 3.27
Sn 0.5495 0.5439 0.2176  4 Sn 3.03-3.22, 3 Hg 3.10-3.39, 1 Na 3.27
Sn 0.2310 0.7871 0.9901  1 Hg 2.99, 5 Sn 3.11-3.29
Sn 0.0099 0.7129 0.7690  1 Hg 2.99, 5 Sn 3.11-3.29
Sn 0.7690 0.2129 0.0099  1 Hg 2.99, 5 Sn 3.11-3.29
Sn 0.9901 0.2871 0.2310  1 Hg 2.99, 5 Sn 3.11-3.29
Hg 0.2355 0.7236 0.4203  5 Sn 2.99-3.27, 1 Na 3.20
Hg 0.5797 0.7764 0.7645  5 Sn 2.99-3.27, 1 Na 3.20
Hg 0.7645 0.2764 0.5797  5 Sn 2.99-3.27, 1 Na 3.20
Hg 0.4203 0.2236 0.2355  5 Sn 2.99-3.27, 1 Na 3.20

Its density of states at the Fermi level is 0.38 states/eV/atom. The energy of formation from the pure elements comes out at 0.006 eV/atom. The value obtained for the total energy is -2.88 eV/atom.


No. 8
The following is a DFT calculation (PBE-GGA) of a relaxed CdAsIrSe2 crystal.

Cell lengths 5.1906, 5.1906, 4.5653 Å; angles 90.00, 90.00, 90.00 degrees
Closest atoms and distances in Å follow each position.
Element x y z (fractional)
As 0.0000 0.0000 0.5000  2 Ir 2.28
Ir 0.0000 0.0000 0.0000  2 As 2.28
Se 0.0000 0.5000 0.0000  2 Ir 2.60
Se 0.5000 0.0000 0.0000  2 Ir 2.60
Cd 0.5000 0.5000 0.5000  8 Se 3.46, 4 As 3.67

The calculation puts the energy relative to the elements, uncorrected at 0.39 eV per atom. The calculation puts the polymorph energy (0 for the lowest one) at 0.000 eV/atom. Its density of states at the Fermi level is 1.02 states/eV/atom. The value obtained for the total energy is -3.89 eV/atom.


No. 9
The following is a DFT calculation (PBE-GGA) of a relaxed AcCd5Ni2 crystal.

Cell lengths 4.2865, 6.7828, 6.7828 Å; angles 74.05, 71.58, 71.58 degrees
Closest atoms and distances in Å follow each position.
Element x y z (fractional)
Ac 0.0000 0.0000 0.0000  4 Ni 3.14
Cd 0.0000 0.5000 0.5000  2 Ni 2.68
Cd 0.6600 0.5249 0.1551  3 Ni 2.67-2.84
Cd 0.3400 0.4751 0.8449  3 Ni 2.67-2.84
Cd 0.3400 0.8449 0.4751  3 Ni 2.67-2.84
Cd 0.6600 0.1551 0.5249  3 Ni 2.67-2.84
Ni 0.7305 0.7695 0.7695  7 Cd 2.67-2.84
Ni 0.2695 0.2305 0.2305  7 Cd 2.67-2.84

Its density of states at the Fermi level is 0.63 states/eV/atom. The energy of formation from the pure elements comes out at -0.164 eV/atom. The value obtained for the total energy is -2.69 eV/atom.


No. 10
The following is a DFT calculation (PBE-GGA) of a relaxed CuH crystal.

Cell lengths 5.3630, 5.3630, 5.3630 Å; angles 90.00, 90.00, 90.00 degrees
Closest atoms and distances in Å follow each position.
Element x y z (fractional)
Cu 0.3238 0.3238 0.3238  4 H 1.59-1.77
Cu 0.3238 0.6762 0.6762  4 H 1.59-1.77
Cu 0.6762 0.3238 0.6762  4 H 1.59-1.77
Cu 0.6762 0.6762 0.3238  4 H 1.59-1.77
Cu 0.8238 0.8238 0.8238  4 H 1.59-1.77
Cu 0.8238 0.1762 0.1762  4 H 1.59-1.77
Cu 0.1762 0.8238 0.1762  4 H 1.59-1.77
Cu 0.1762 0.1762 0.8238  4 H 1.59-1.77
H 0.1529 0.1529 0.1529  4 Cu 1.59-1.77
H 0.1529 0.8471 0.8471  4 Cu 1.59-1.77
H 0.8471 0.1529 0.8471  4 Cu 1.59-1.77
H 0.8471 0.8471 0.1529  4 Cu 1.59-1.77
H 0.6529 0.6529 0.6529  4 Cu 1.59-1.77
H 0.6529 0.3471 0.3471  4 Cu 1.59-1.77
H 0.3471 0.6529 0.3471  4 Cu 1.59-1.77
H 0.3471 0.3471 0.6529  4 Cu 1.59-1.77

Its density of states at the Fermi level is 0.07 states/eV/atom. The value obtained for the total energy is -3.52 eV/atom.


Q: Number 9 is which compound?
A: AcCd5Ni2